Entry 1:
First-principles (PBE) data for a geometry-optimized UPa2Co9 structure, as listed in Alexandria. Values from VASP.

Output
Space group: No. 166
Total magnetic moment: 0.44 μB/cell
Energy of formation: -236 meV/atom
N(E_F): 16.5 states/eV per cell
Calculated total energy: -97.06 eV/f.u.

Quantum ESPRESSO input file:
```
&SYSTEM
  ibrav = 0, nat = 12, ntyp = 3
/
ATOMIC_SPECIES
U 238.03 U.upf
Pa 231.04 Pa.upf
Co 58.93 Co.upf
CELL_PARAMETERS angstrom
-2.691 3.907 -0.901
-4.803 -0.221 0.448
-1.875 3.449 7.618
ATOMIC_POSITIONS crystal
U 0.000 0.000 0.000
Pa 0.863 0.863 0.411
Pa 0.137 0.137 0.589
Co 0.666 0.666 0.001
Co 0.334 0.334 0.999
Co 0.500 0.500 0.500
Co 0.418 0.418 0.245
Co 0.920 0.418 0.245
Co 0.418 0.920 0.245
Co 0.582 0.582 0.755
Co 0.582 0.080 0.755
Co 0.080 0.582 0.755
```

Entry 2:
First-principles (PBE) data for a geometry-optimized UPaCo3 structure, as listed in Alexandria. Values from VASP.

Output
Space group: No. 166
Total magnetic moment: 2.67 μB/cell
Energy of formation: 13 meV/atom
N(E_F): 14.7 states/eV per cell
Calculated total energy: -42.04 eV/f.u.

Quantum ESPRESSO input file:
```
&SYSTEM
  ibrav = 0, nat = 10, ntyp = 3
/
ATOMIC_SPECIES
U 238.03 U.upf
Pa 231.04 Pa.upf
Co 58.93 Co.upf
CELL_PARAMETERS angstrom
6.175 1.484 4.998
3.223 5.472 4.998
2.005 1.484 7.687
ATOMIC_POSITIONS crystal
U 0.180 0.180 0.180
U 0.820 0.820 0.820
Pa 0.305 0.305 0.305
Pa 0.695 0.695 0.695
Co 0.255 0.255 0.745
Co 0.255 0.745 0.255
Co 0.255 0.745 0.745
Co 0.745 0.255 0.745
Co 0.745 0.745 0.255
Co 0.745 0.255 0.255
```

Entry 3:
First-principles (PBE) data for a geometry-optimized UPaCo structure, as listed in Alexandria. Values from VASP.

Output
Space group: No. 156
Total magnetic moment: 0.25 μB/cell
Energy of formation: 128 meV/atom
N(E_F): 8.2 states/eV per cell
Calculated total energy: -27.50 eV/f.u.

Quantum ESPRESSO input file:
```
&SYSTEM
  ibrav = 0, nat = 3, ntyp = 3
/
ATOMIC_SPECIES
Co 58.93 Co.upf
Pa 231.04 Pa.upf
U 238.03 U.upf
CELL_PARAMETERS angstrom
-2.977 0.278 0.242
-0.225 -4.168 2.011
0.565 3.797 2.595
ATOMIC_POSITIONS crystal
Co 0.323 0.667 0.333
Pa 0.656 0.333 0.667
U 0.021 0.000 0.000
```

Entry 4:
First-principles (PBE) data for a geometry-optimized Pa2VCo structure, as listed in Alexandria. Values from VASP.

Output
Space group: No. 166
Total magnetic moment: 0.60 μB/cell
Energy of formation: 172 meV/atom
N(E_F): 8.3 states/eV per cell
Calculated total energy: -34.53 eV/f.u.

Quantum ESPRESSO input file:
```
&SYSTEM
  ibrav = 0, nat = 4, ntyp = 3
/
ATOMIC_SPECIES
Pa 231.04 Pa.upf
Co 58.93 Co.upf
V 50.94 V.upf
CELL_PARAMETERS angstrom
4.560 0.000 0.000
2.280 3.949 0.000
2.280 1.316 4.229
ATOMIC_POSITIONS crystal
Pa 0.252 0.252 0.244
Pa 0.748 0.748 0.756
Co 0.000 0.000 0.000
V 0.500 0.500 0.500
```

Entry 5:
First-principles (PBE) data for a geometry-optimized PaVCo structure, as listed in Alexandria. Values from VASP.

Output
Space group: No. 187
Total magnetic moment: 0.00 μB/cell
Energy of formation: 249 meV/atom
N(E_F): 3.3 states/eV per cell
Calculated total energy: -24.97 eV/f.u.

Quantum ESPRESSO input file:
```
&SYSTEM
  ibrav = 0, nat = 3, ntyp = 3
/
ATOMIC_SPECIES
Pa 231.04 Pa.upf
Co 58.93 Co.upf
V 50.94 V.upf
CELL_PARAMETERS angstrom
2.864 0.000 0.000
0.000 4.399 0.000
0.000 -2.200 3.810
ATOMIC_POSITIONS crystal
Pa 0.166 0.667 0.333
Co 0.167 0.000 0.000
V 0.667 0.333 0.667
```

Entry 6:
First-principles (PBE) data for a geometry-optimized PaVCo structure, as listed in Alexandria. Values from VASP.

Output
Space group: No. 107
Total magnetic moment: 0.00 μB/cell
Energy of formation: 0 meV/atom
N(E_F): 4.1 states/eV per cell
Calculated total energy: -25.72 eV/f.u.

Quantum ESPRESSO input file:
```
&SYSTEM
  ibrav = 0, nat = 3, ntyp = 3
/
ATOMIC_SPECIES
Pa 231.04 Pa.upf
Co 58.93 Co.upf
V 50.94 V.upf
CELL_PARAMETERS angstrom
-1.592 2.295 0.848
-2.327 -1.732 0.321
3.431 -1.257 4.822
ATOMIC_POSITIONS crystal
Pa 0.618 0.618 0.236
Co 0.310 0.310 0.619
V 0.923 0.923 0.845
```

Entry 7:
First-principles (PBE) data for a geometry-optimized PaVCo4 structure, as listed in Alexandria. Values from VASP.

Output
Space group: No. 216
Total magnetic moment: 0.40 μB/cell
Energy of formation: -123 meV/atom
N(E_F): 9.5 states/eV per cell
Calculated total energy: -47.78 eV/f.u.

Quantum ESPRESSO input file:
```
&SYSTEM
  ibrav = 0, nat = 6, ntyp = 3
/
ATOMIC_SPECIES
Pa 231.04 Pa.upf
Co 58.93 Co.upf
V 50.94 V.upf
CELL_PARAMETERS angstrom
4.821 0.000 0.000
2.411 4.175 0.000
2.411 1.392 3.936
ATOMIC_POSITIONS crystal
Pa 0.250 0.250 0.250
Co 0.626 0.626 0.122
Co 0.626 0.122 0.626
Co 0.626 0.626 0.626
Co 0.122 0.626 0.626
V 0.000 0.000 0.000
```

Entry 8:
First-principles (PBE) data for a geometry-optimized PaVCo2 structure, as listed in Alexandria. Values from VASP.

Output
Space group: No. 123
Total magnetic moment: 0.00 μB/cell
Energy of formation: -122 meV/atom
N(E_F): 6.0 states/eV per cell
Calculated total energy: -33.31 eV/f.u.

Quantum ESPRESSO input file:
```
&SYSTEM
  ibrav = 0, nat = 4, ntyp = 3
/
ATOMIC_SPECIES
Pa 231.04 Pa.upf
Co 58.93 Co.upf
V 50.94 V.upf
CELL_PARAMETERS angstrom
2.952 0.000 0.000
0.000 2.952 0.000
0.000 0.000 6.723
ATOMIC_POSITIONS crystal
Pa 0.500 0.500 0.500
Co 0.000 0.000 0.806
Co 0.000 0.000 0.194
V 0.500 0.500 0.000
```